Record 1
The following is a DFT calculation (GGA-PBE) of a geometry-optimized RbTiTl structure.

It has space group P6_3/mmc (No. 194), with a = 6.1274 Å, b = 6.1274 Å, c = 11.1901 Å, α = 90.00°, β = 90.00° and γ = 120.00°. Symmetry generates all atoms from Rb at (0.3333, 0.6667, 0.2500), Ti at (0.0000, 0.0000, 0.0000) and Tl at (0.0000, 0.0000, 0.2500).

The calculation puts the formation energy at 1.217 eV/atom. For the size of the total moment, the calculation gives 5.5 Bohr magnetons per cell. The crystal system is hexagonal. The value obtained for the calculated volume is 363.85 Å³ per cell. For the electronic total energy, the calculation gives -2.53 eV per atom.


Record 2
The following is a DFT calculation (GGA-PBE) of a geometry-optimized RbTiTl structure.

It has space group P1 (No. 1), with a = 3.2107 Å, b = 5.2357 Å, c = 12.9643 Å, α = 91.38°, β = 91.25° and γ = 104.54°. Symmetry generates all atoms from Rb at (0.0000, 0.0000, 0.0000), Rb at (0.0579, 0.0307, 0.4095), Ti at (0.2590, 0.4816, 0.7819), Ti at (0.8030, 0.5490, 0.6276), Tl at (0.5145, 0.5175, 0.2048) and Tl at (0.5308, 0.0153, 0.7047).

The calculation puts the formation energy at 0.464 eV/atom. For the size of the total moment, the calculation gives 0.0 Bohr magnetons per cell. The crystal system is triclinic. The value obtained for the calculated volume is 210.81 Å³ per cell. For the electronic total energy, the calculation gives -3.28 eV per atom.


Record 3
The following is a DFT calculation (GGA-PBE) of a geometry-optimized RbTiTl structure.

It has space group Pm (No. 6), with a = 3.7377 Å, b = 4.3631 Å, c = 13.2837 Å, α = 90.00°, β = 90.40° and γ = 90.00°. Symmetry generates all atoms from Rb at (0.0000, 0.0000, 0.0000), Rb at (0.4810, 0.5000, 0.3201), Ti at (0.4900, 0.5000, 0.5832), Ti at (0.9938, 0.5000, 0.7338), Tl at (0.4944, 0.0000, 0.7562) and Tl at (0.9887, 0.0000, 0.5393).

The calculation puts the formation energy at 0.232 eV/atom. For the size of the total moment, the calculation gives 0.5 Bohr magnetons per cell. The crystal system is monoclinic. The value obtained for the calculated volume is 216.62 Å³ per cell. For the electronic total energy, the calculation gives -3.51 eV per atom.


Record 4
The following is a DFT calculation (GGA-PBE) of a geometry-optimized RbTi3Tl structure.

It has space group Pm-3m (No. 221), with a = 4.7685 Å, b = 4.7685 Å, c = 4.7685 Å, α = 90.00°, β = 90.00° and γ = 90.00°. Symmetry generates all atoms from Rb at (0.0000, 0.0000, 0.0000), Ti at (0.0000, 0.0000, 0.5000) and Tl at (0.5000, 0.5000, 0.5000).

The calculation puts the formation energy at 1.943 eV/atom. For the size of the total moment, the calculation gives 1.9 Bohr magnetons per cell. The crystal system is cubic. The value obtained for the calculated volume is 108.43 Å³ per cell. For the electronic total energy, the calculation gives -3.46 eV per atom.


Record 5
The following is a DFT calculation (GGA-PBE) of a geometry-optimized RbTiTl structure.

It has space group C2/m (No. 12), with a = 26.8962 Å, b = 3.3700 Å, c = 4.5312 Å, α = 90.00°, β = 90.26° and γ = 90.00°. Symmetry generates all atoms from Rb at (0.1660, 0.0000, 0.2546), Ti at (0.0200, 0.0000, 0.2505) and Tl at (0.0724, 0.5000, 0.7522).

The calculation puts the formation energy at 0.255 eV/atom. For the size of the total moment, the calculation gives 0.0 Bohr magnetons per cell. The crystal system is monoclinic. The value obtained for the calculated volume is 410.71 Å³ per cell. For the electronic total energy, the calculation gives -3.49 eV per atom.


Record 6
The following is a DFT calculation (GGA-PBE) of a geometry-optimized RbTiTl structure.

It has space group C2/m (No. 12), with a = 7.8860 Å, b = 6.6892 Å, c = 8.1052 Å, α = 90.00°, β = 93.64° and γ = 90.00°. Symmetry generates all atoms from Rb at (0.2439, 0.0000, 0.3613), Ti at (0.0000, 0.3052, 0.0000) and Tl at (0.2067, 0.0000, 0.8591).

The calculation puts the formation energy at 0.353 eV/atom. For the size of the total moment, the calculation gives 3.3 Bohr magnetons per cell. The crystal system is monoclinic. The value obtained for the calculated volume is 426.69 Å³ per cell. For the electronic total energy, the calculation gives -3.39 eV per atom.


Record 7
The following is a DFT calculation (GGA-PBE) of a geometry-optimized RbTiTl structure.

It has space group P1 (No. 1), with a = 3.2297 Å, b = 6.9065 Å, c = 9.3134 Å, α = 89.96°, β = 89.86° and γ = 76.56°. Symmetry generates all atoms from Rb at (0.0000, 0.0000, 0.0000), Rb at (0.2412, 0.5106, 0.6940), Ti at (0.3041, 0.3757, 0.3236), Ti at (0.6390, 0.7060, 0.3485), Tl at (0.7356, 0.5174, 0.0672) and Tl at (0.9670, 0.0482, 0.4605).

The calculation puts the formation energy at 0.385 eV/atom. For the size of the total moment, the calculation gives 1.3 Bohr magnetons per cell. The crystal system is triclinic. The value obtained for the calculated volume is 202.05 Å³ per cell. For the electronic total energy, the calculation gives -3.36 eV per atom.


Record 8
The following is a DFT calculation (GGA-PBE) of a geometry-optimized RbTiTl structure.

It has space group P-1 (No. 2), with a = 3.4288 Å, b = 4.2706 Å, c = 14.3719 Å, α = 89.15°, β = 88.23° and γ = 81.26°. Symmetry generates all atoms from Rb at (0.2061, 0.2381, 0.3419), Ti at (0.2528, 0.7507, 0.9794) and Tl at (0.2721, 0.2557, 0.8375).

The calculation puts the formation energy at 0.269 eV/atom. For the size of the total moment, the calculation gives 0.0 Bohr magnetons per cell. The crystal system is triclinic. The value obtained for the calculated volume is 207.89 Å³ per cell. For the electronic total energy, the calculation gives -3.47 eV per atom.


Record 9
The following is a DFT calculation (GGA-PBE) of a geometry-optimized RbTiTl structure.

It has space group P1 (No. 1), with a = 4.5903 Å, b = 4.6731 Å, c = 12.7200 Å, α = 90.17°, β = 100.01° and γ = 119.41°. Symmetry generates all atoms from Rb at (0.0000, 0.0000, 0.0000), Rb at (0.4135, 0.2042, 0.6482), Ti at (0.2339, 0.1571, 0.3240), Ti at (0.5274, 0.7438, 0.3240), Tl at (0.8014, 0.4094, 0.2018) and Tl at (0.9574, 0.4862, 0.4461).

The calculation puts the formation energy at 0.246 eV/atom. For the size of the total moment, the calculation gives 0.0 Bohr magnetons per cell. The crystal system is triclinic. The value obtained for the calculated volume is 232.83 Å³ per cell. For the electronic total energy, the calculation gives -3.50 eV per atom.


Record 10
The following is a DFT calculation (GGA-PBE) of a geometry-optimized Rb3TiTl structure.

It has space group Pm-3m (No. 221), with a = 6.9401 Å, b = 6.9401 Å, c = 6.9401 Å, α = 90.00°, β = 90.00° and γ = 90.00°. Symmetry generates all atoms from Rb at (0.0000, 0.0000, 0.5000), Ti at (0.0000, 0.0000, 0.0000) and Tl at (0.5000, 0.5000, 0.5000).

The calculation puts the formation energy at 0.951 eV/atom. For the size of the total moment, the calculation gives 4.0 Bohr magnetons per cell. The crystal system is cubic. The value obtained for the calculated volume is 334.27 Å³ per cell. For the electronic total energy, the calculation gives -1.68 eV per atom.


Record 11
The following is a DFT calculation (GGA-PBE) of a geometry-optimized RbTiTl structure.

It has space group P6_3/mmc (No. 194), with a = 5.7389 Å, b = 5.7389 Å, c = 6.2522 Å, α = 90.00°, β = 90.00° and γ = 120.00°. Symmetry generates all atoms from Rb at (0.0000, 0.0000, 0.0000), Ti at (0.3333, 0.6667, 0.2500) and Tl at (0.3333, 0.6667, 0.7500).

The calculation puts the formation energy at 0.777 eV/atom. For the size of the total moment, the calculation gives 3.8 Bohr magnetons per cell. The crystal system is hexagonal. The value obtained for the calculated volume is 178.32 Å³ per cell. For the electronic total energy, the calculation gives -2.97 eV per atom.


Record 12
The following is a DFT calculation (GGA-PBE) of a geometry-optimized RbTiTl structure.

It has space group Cmmm (No. 65), with a = 4.2895 Å, b = 28.7745 Å, c = 3.4544 Å, α = 90.00°, β = 90.00° and γ = 90.00°. Symmetry generates all atoms from Rb at (0.0000, 0.1699, 0.0000), Ti at (0.0000, 0.0000, 0.5000), Ti at (0.0000, 0.5000, 0.0000) and Tl at (0.0000, 0.4166, 0.5000).

The calculation puts the formation energy at 0.308 eV/atom. For the size of the total moment, the calculation gives 1.9 Bohr magnetons per cell. The crystal system is orthorhombic. The value obtained for the calculated volume is 426.37 Å³ per cell. For the electronic total energy, the calculation gives -3.44 eV per atom.